--- A ---
Compound: LiZrTlPd
Source: OQMD
Functional: PBE-GGA
Structure: relaxed

Computed properties:
SG ... F-43m (216)
Total moment ... 0.00 μB/cell

Unit cell a=4.700 b=4.700 c=4.700 alpha=60.00 beta=60.00 gamma=60.00
Fractional coordinates of all 4 atoms:
Li1 0.000 0.000 0.000
Zr1 0.750 0.750 0.750
Tl1 0.500 0.500 0.500
Pd1 0.250 0.250 0.250



--- B ---
Compound: LiZrTlPd
Source: OQMD
Functional: PBE-GGA
Structure: relaxed

Computed properties:
SG ... F-43m (216)
Total moment ... 0.00 μB/cell

Unit cell a=4.748 b=4.748 c=4.748 alpha=60.00 beta=60.00 gamma=60.00
Fractional coordinates of all 4 atoms:
Li1 0.000 0.000 0.000
Zr1 0.500 0.500 0.500
Tl1 0.250 0.250 0.250
Pd1 0.750 0.750 0.750



Quick one: most stable of them? B



--- A ---
Compound: LiYPd
Source: OQMD
Functional: PBE-GGA
Structure: relaxed

Computed properties:
SG ... F-43m (216)
Total moment ... 0.07 μB/cell

Unit cell a=4.407 b=4.407 c=4.407 alpha=60.00 beta=60.00 gamma=60.00
Fractional coordinates of all 3 atoms:
Li1 0.000 0.000 0.000
Y1 0.250 0.250 0.250
Pd1 0.750 0.750 0.750



--- B ---
Compound: LiYPd
Source: OQMD
Functional: PBE-GGA
Structure: relaxed

Computed properties:
SG ... F-43m (216)
Total moment ... 0.00 μB/cell

Unit cell a=4.640 b=4.640 c=4.640 alpha=60.00 beta=60.00 gamma=60.00
Fractional coordinates of all 3 atoms:
Li1 0.000 0.000 0.000
Y1 0.250 0.250 0.250
Pd1 0.500 0.500 0.500



Quick one: most stable of them? A



--- A ---
Compound: LiPm2
Source: OQMD
Functional: PBE-GGA
Structure: relaxed

Computed properties:
SG ... Fd-3m (227)
Total moment ... 2.66 μB/cell

Unit cell a=8.405 b=8.405 c=8.405 alpha=60.00 beta=60.00 gamma=60.00
Fractional coordinates of all 6 atoms:
Li1 0.125 0.125 0.125
Li2 0.875 0.875 0.875
Pm1 0.000 0.000 0.000
Pm2 0.000 0.000 0.500
Pm3 0.000 0.500 0.000
Pm4 0.500 0.000 0.000



--- B ---
Compound: LiPm2
Source: OQMD
Functional: PBE-GGA
Structure: relaxed

Computed properties:
SG ... Fm-3m (225)
Total moment ... 1.62 μB/cell

Unit cell a=5.110 b=5.110 c=5.110 alpha=60.00 beta=60.00 gamma=60.00
Fractional coordinates of all 3 atoms:
Li1 0.000 0.000 0.000
Pm1 0.250 0.250 0.250
Pm2 0.750 0.750 0.750



Quick one: most stable of them? B



--- A ---
Compound: LiPmPr
Source: OQMD
Functional: PBE-GGA
Structure: relaxed

Computed properties:
SG ... P-6m2 (187)
Total moment ... 0.04 μB/cell

Unit cell a=5.654 b=5.654 c=9.811 alpha=90.00 beta=90.00 gamma=120.00
Fractional coordinates of all 9 atoms:
Li1 0.000 0.000 0.000
Li2 0.000 0.000 0.332
Li3 0.000 0.000 0.668
Pm1 0.333 0.667 0.169
Pm2 0.333 0.667 0.831
Pm3 0.667 0.333 0.500
Pr1 0.333 0.667 0.500
Pr2 0.667 0.333 0.164
Pr3 0.667 0.333 0.836



--- B ---
Compound: LiPmPr
Source: OQMD
Functional: PBE-GGA
Structure: relaxed

Computed properties:
SG ... F-43m (216)
Total moment ... 1.66 μB/cell

Unit cell a=5.158 b=5.158 c=5.158 alpha=60.00 beta=60.00 gamma=60.00
Fractional coordinates of all 3 atoms:
Li1 0.000 0.000 0.000
Pm1 0.750 0.750 0.750
Pr1 0.250 0.250 0.250



Quick one: most stable of them? A



--- A ---
Compound: LiPmSb
Source: OQMD
Functional: PBE-GGA
Structure: relaxed

Computed properties:
SG ... F-43m (216)
Total moment ... 0.00 μB/cell

Unit cell a=5.062 b=5.062 c=5.062 alpha=60.00 beta=60.00 gamma=60.00
Fractional coordinates of all 3 atoms:
Li1 0.000 0.000 0.000
Pm1 0.250 0.250 0.250
Sb1 0.500 0.500 0.500



--- B ---
Compound: LiPmSb
Source: OQMD
Functional: PBE-GGA
Structure: relaxed

Computed properties:
SG ... F-43m (216)
Total moment ... 0.00 μB/cell

Unit cell a=4.978 b=4.978 c=4.978 alpha=60.00 beta=60.00 gamma=60.00
Fractional coordinates of all 3 atoms:
Li1 0.000 0.000 0.000
Pm1 0.500 0.500 0.500
Sb1 0.250 0.250 0.250



Quick one: most stable of them? B



--- A ---
Compound: LiPmTe
Source: OQMD
Functional: PBE-GGA
Structure: relaxed

Computed properties:
SG ... F-43m (216)
Total moment ... 0.01 μB/cell

Unit cell a=4.965 b=4.965 c=4.965 alpha=60.00 beta=60.00 gamma=60.00
Fractional coordinates of all 3 atoms:
Li1 0.000 0.000 0.000
Pm1 0.500 0.500 0.500
Te1 0.250 0.250 0.250



--- B ---
Compound: LiPmTe
Source: OQMD
Functional: PBE-GGA
Structure: relaxed

Computed properties:
SG ... F-43m (216)
Total moment ... 0.00 μB/cell

Unit cell a=5.063 b=5.063 c=5.063 alpha=60.00 beta=60.00 gamma=60.00
Fractional coordinates of all 3 atoms:
Li1 0.000 0.000 0.000
Pm1 0.250 0.250 0.250
Te1 0.500 0.500 0.500



Quick one: most stable of them? A



--- A ---
Compound: LiPrSb
Source: OQMD
Functional: PBE-GGA
Structure: relaxed

Computed properties:
SG ... F-43m (216)
Total moment ... 0.00 μB/cell

Unit cell a=4.725 b=4.725 c=4.725 alpha=60.00 beta=60.00 gamma=60.00
Fractional coordinates of all 3 atoms:
Li1 0.000 0.000 0.000
Pr1 0.750 0.750 0.750
Sb1 0.250 0.250 0.250



--- B ---
Compound: LiPrSb
Source: OQMD
Functional: PBE-GGA
Structure: relaxed

Computed properties:
SG ... F-43m (216)
Total moment ... 0.00 μB/cell

Unit cell a=5.126 b=5.126 c=5.126 alpha=60.00 beta=60.00 gamma=60.00
Fractional coordinates of all 3 atoms:
Li1 0.000 0.000 0.000
Pr1 0.250 0.250 0.250
Sb1 0.500 0.500 0.500



Quick one: most stable of them? A



--- A ---
Compound: SrLiPrSe3
Source: OQMD
Functional: PBE-GGA
Structure: relaxed

Computed properties:
SG ... Cmcm (63)
Total moment ... 0.00 μB/cell

Unit cell a=7.153 b=7.153 c=11.161 alpha=90.00 beta=90.00 gamma=145.40
Fractional coordinates of all 12 atoms:
Sr1 0.248 0.752 0.750
Sr2 0.752 0.248 0.250
Li1 0.476 0.524 0.250
Li2 0.524 0.476 0.750
Pr1 0.000 0.000 0.000
Pr2 0.000 0.000 0.500
Se1 0.082 0.918 0.250
Se2 0.360 0.640 0.075
Se3 0.360 0.640 0.425
Se4 0.640 0.360 0.575
Se5 0.640 0.360 0.925
Se6 0.918 0.082 0.750



--- B ---
Compound: SrLiPrSe3
Source: OQMD
Functional: PBE-GGA
Structure: relaxed

Computed properties:
SG ... C2/m (12)
Total moment ... 0.01 μB/cell

Unit cell a=9.339 b=9.339 c=8.763 alpha=104.09 beta=104.09 gamma=26.22
Fractional coordinates of all 12 atoms:
Sr1 0.131 0.131 0.065
Sr2 0.869 0.869 0.935
Li1 0.500 0.500 0.301
Li2 0.500 0.500 0.699
Pr1 0.167 0.167 0.594
Pr2 0.833 0.833 0.406
Se1 0.000 0.000 0.500
Se2 0.323 0.323 0.170
Se3 0.336 0.336 0.650
Se4 0.500 0.500 0.000
Se5 0.664 0.664 0.350
Se6 0.677 0.677 0.830



Quick one: most stable of them? B



--- A ---
Compound: LiPrZnSe3
Source: OQMD
Functional: PBE-GGA
Structure: relaxed

Computed properties:
SG ... Pnma (62)
Total moment ... 0.00 μB/cell

Unit cell a=12.041 b=4.147 c=11.817 alpha=90.00 beta=90.00 gamma=90.00
Fractional coordinates of all 24 atoms:
Li1 0.120 0.250 0.011
Li2 0.380 0.750 0.511
Li3 0.620 0.250 0.489
Li4 0.880 0.750 0.989
Pr1 0.032 0.250 0.681
Pr2 0.468 0.750 0.181
Pr3 0.532 0.250 0.819
Pr4 0.968 0.750 0.319
Zn1 0.241 0.250 0.290
Zn2 0.259 0.750 0.790
Zn3 0.741 0.250 0.210
Zn4 0.759 0.750 0.710
Se1 0.068 0.750 0.867
Se2 0.099 0.250 0.433
Se3 0.211 0.750 0.171
Se4 0.289 0.250 0.671
Se5 0.401 0.750 0.933
Se6 0.432 0.250 0.367
Se7 0.568 0.750 0.633
Se8 0.599 0.250 0.067
Se9 0.711 0.750 0.329
Se10 0.789 0.250 0.829
Se11 0.901 0.750 0.567
Se12 0.932 0.250 0.133



--- B ---
Compound: LiPrZnSe3
Source: OQMD
Functional: PBE-GGA
Structure: relaxed

Computed properties:
SG ... Cmcm (63)
Total moment ... 0.00 μB/cell

Unit cell a=6.832 b=6.832 c=11.323 alpha=90.00 beta=90.00 gamma=145.29
Fractional coordinates of all 12 atoms:
Li1 0.220 0.780 0.750
Li2 0.780 0.220 0.250
Pr1 0.000 0.000 0.000
Pr2 0.000 0.000 0.500
Zn1 0.475 0.525 0.250
Zn2 0.525 0.475 0.750
Se1 0.091 0.909 0.250
Se2 0.353 0.647 0.085
Se3 0.353 0.647 0.415
Se4 0.647 0.353 0.585
Se5 0.647 0.353 0.915
Se6 0.909 0.091 0.750



Quick one: most stable of them? A



--- A ---
Compound: SrLiPrTe3
Source: OQMD
Functional: PBE-GGA
Structure: relaxed

Computed properties:
SG ... C2/m (12)
Total moment ... 0.01 μB/cell

Unit cell a=10.016 b=10.016 c=9.369 alpha=103.84 beta=103.84 gamma=26.01
Fractional coordinates of all 12 atoms:
Sr1 0.132 0.132 0.065
Sr2 0.868 0.868 0.935
Li1 0.498 0.498 0.303
Li2 0.502 0.502 0.697
Pr1 0.167 0.167 0.593
Pr2 0.833 0.833 0.407
Te1 0.000 0.000 0.500
Te2 0.321 0.321 0.167
Te3 0.336 0.336 0.650
Te4 0.500 0.500 0.000
Te5 0.664 0.664 0.350
Te6 0.679 0.679 0.833



--- B ---
Compound: SrLiPrTe3
Source: OQMD
Functional: PBE-GGA
Structure: relaxed

Computed properties:
SG ... Pnma (62)
Total moment ... 0.02 μB/cell

Unit cell a=11.860 b=4.520 c=14.665 alpha=90.00 beta=90.00 gamma=90.00
Fractional coordinates of all 24 atoms:
Sr1 0.220 0.250 0.004
Sr2 0.280 0.750 0.504
Sr3 0.720 0.250 0.496
Sr4 0.780 0.750 0.996
Li1 0.233 0.750 0.229
Li2 0.267 0.250 0.729
Li3 0.733 0.750 0.271
Li4 0.767 0.250 0.771
Pr1 0.019 0.750 0.741
Pr2 0.481 0.250 0.241
Pr3 0.519 0.750 0.759
Pr4 0.981 0.250 0.259
Te1 0.049 0.750 0.113
Te2 0.095 0.250 0.603
Te3 0.236 0.250 0.336
Te4 0.264 0.750 0.836
Te5 0.405 0.750 0.103
Te6 0.451 0.250 0.613
Te7 0.549 0.750 0.387
Te8 0.595 0.250 0.897
Te9 0.736 0.250 0.164
Te10 0.764 0.750 0.664
Te11 0.905 0.750 0.397
Te12 0.951 0.250 0.887



Quick one: most stable of them? B



--- A ---
Compound: LiPrZnTe3
Source: OQMD
Functional: PBE-GGA
Structure: relaxed

Computed properties:
SG ... C2/m (12)
Total moment ... 0.01 μB/cell

Unit cell a=10.649 b=10.649 c=8.499 alpha=104.33 beta=104.33 gamma=23.36
Fractional coordinates of all 12 atoms:
Li1 0.105 0.105 0.083
Li2 0.895 0.895 0.917
Pr1 0.172 0.172 0.585
Pr2 0.828 0.828 0.415
Zn1 0.456 0.456 0.271
Zn2 0.544 0.544 0.729
Te1 0.000 0.000 0.500
Te2 0.328 0.328 0.682
Te3 0.329 0.329 0.143
Te4 0.500 0.500 0.000
Te5 0.671 0.671 0.857
Te6 0.672 0.672 0.318



--- B ---
Compound: LiPrZnTe3
Source: OQMD
Functional: PBE-GGA
Structure: relaxed

Computed properties:
SG ... Pnma (62)
Total moment ... 0.00 μB/cell

Unit cell a=12.848 b=4.397 c=12.788 alpha=90.00 beta=90.00 gamma=90.00
Fractional coordinates of all 24 atoms:
Li1 0.124 0.250 0.007
Li2 0.376 0.750 0.507
Li3 0.624 0.250 0.493
Li4 0.876 0.750 0.993
Pr1 0.039 0.250 0.682
Pr2 0.461 0.750 0.182
Pr3 0.539 0.250 0.818
Pr4 0.961 0.750 0.318
Zn1 0.241 0.250 0.288
Zn2 0.259 0.750 0.788
Zn3 0.741 0.250 0.212
Zn4 0.759 0.750 0.712
Te1 0.067 0.750 0.866
Te2 0.097 0.250 0.431
Te3 0.207 0.750 0.168
Te4 0.293 0.250 0.668
Te5 0.403 0.750 0.931
Te6 0.433 0.250 0.366
Te7 0.567 0.750 0.634
Te8 0.597 0.250 0.069
Te9 0.707 0.750 0.332
Te10 0.793 0.250 0.832
Te11 0.903 0.750 0.569
Te12 0.933 0.250 0.134



Quick one: most stable of them? B